Entry from the Alexandria database: a relaxed La3PrAu2 crystal (PBE). Values from VASP.

```
&SYSTEM
  ibrav = 0, nat = 12, ntyp = 3
/
ATOMIC_SPECIES
La 138.91 La.upf
Pr 140.91 Pr.upf
Au 196.97 Au.upf
ATOMIC_POSITIONS crystal
La 0.020 0.750 0.270
La 0.250 0.250 0.000
La 0.480 0.750 0.730
La 0.520 0.250 0.270
La 0.750 0.750 0.000
La 0.980 0.250 0.730
Pr 0.000 0.500 0.500
Pr 0.500 0.000 0.500
Au 0.141 0.199 0.340
Au 0.359 0.699 0.058
Au 0.641 0.301 0.942
Au 0.859 0.801 0.660
CELL_PARAMETERS angstrom
-3.703 7.276 3.824
3.703 -7.276 3.824
3.703 7.276 -3.824
```

Properties
For the energy, the calculation gives -4.76 eV/atom. The value obtained for the theoretical density is 7.668 g/cm³. For the density of states at the Fermi level, the calculation gives 18.706 states/eV per cell.